Record 1
Mn2CuSiNi | PBE | optimized geometry

It has space group P4/mmm (No. 123), with a = 4.550 Å, b = 4.550 Å, c = 4.175 Å, α = 90.00°, β = 90.00° and γ = 90.00°. The distinct sites, in fractional coordinates, are Mn at (0.000, 0.500, 0.000), Cu at (0.000, 0.000, 0.000), Si at (0.000, 0.000, 0.500) and Ni at (0.500, 0.500, 0.500).

Its density of states at the Fermi level is 3.97 states/eV per cell. The calculation puts the uncorrected formation energy at 0.92 eV/atom.

---

Record 2
Sm2MnCu12Ni3 | PBE | optimized geometry

It has space group R-3m (No. 166, hexagonal axes), with a = 5.9644 Å, b = 5.9644 Å, c = 27.4295 Å, α = 90.00°, β = 90.00° and γ = 120.00°. The distinct sites, in fractional coordinates, are Sm at (0.0000, 0.0000, 0.1453), Mn at (0.0000, 0.0000, 0.5000), Cu at (0.0385, 0.5193, 0.0956), Cu at (0.0700, 0.5350, 0.6198) and Ni at (0.0000, 0.5000, 0.0000).

Its density of states at the Fermi level is 35.48 states/eV per cell. As for the formation energy from the elements: 0.277 eV per atom.

---

Record 3
Tb2MnCu3Ni12 | PBE | optimized geometry

It has space group R-3m (No. 166, hexagonal axes), with a = 5.9273 Å, b = 5.9273 Å, c = 25.5907 Å, α = 90.00°, β = 90.00° and γ = 120.00°. The distinct sites, in fractional coordinates, are Tb at (0.0000, 0.0000, 0.1516), Mn at (0.0000, 0.0000, 0.5000), Cu at (0.0000, 0.5000, 0.0000), Ni at (0.0487, 0.5243, 0.0971) and Ni at (0.0727, 0.5363, 0.6150).

Its density of states at the Fermi level is 62.32 states/eV per cell. As for the formation energy from the elements: 0.225 eV per atom.

---

Record 4
Tb2MnCu12Ni3 | PBE | optimized geometry

It has space group R-3m (No. 166, hexagonal axes), with a = 8.4761 Å, b = 8.4761 Å, c = 12.2428 Å, α = 90.00°, β = 90.00° and γ = 120.00°. The distinct sites, in fractional coordinates, are Tb at (0.0000, 0.0000, 0.2461), Mn at (0.0000, 0.0000, 0.5000), Cu at (0.0119, 0.5059, 0.2062), Cu at (0.0476, 0.5238, 0.6007) and Ni at (0.0000, 0.5000, 0.0000).

Its density of states at the Fermi level is 22.05 states/eV per cell. As for the formation energy from the elements: 0.067 eV per atom.

---

Record 5
Tb2MnCu2Ni5 | PBE | optimized geometry

It has space group P4/mbm (No. 127), with a = 8.946 Å, b = 8.946 Å, c = 3.683 Å, α = 90.00°, β = 90.00° and γ = 90.00°. The distinct sites, in fractional coordinates, are Tb at (0.181, 0.319, 0.000), Mn at (0.000, 0.000, 0.000), Cu at (0.117, 0.617, 0.000), Ni at (0.000, 0.500, 0.500) and Ni at (0.058, 0.797, 0.500).

Its density of states at the Fermi level is 11.71 states/eV per cell. As for the formation energy from the elements: -0.186 eV per atom.

---

Record 6
Th2MnCu12Ni3 | PBE | optimized geometry

It has space group R-3m (No. 166, hexagonal axes), with a = 5.9680 Å, b = 5.9680 Å, c = 27.4218 Å, α = 90.00°, β = 90.00° and γ = 120.00°. The distinct sites, in fractional coordinates, are Th at (0.0000, 0.0000, 0.1458), Mn at (0.0000, 0.0000, 0.5000), Cu at (0.0357, 0.5179, 0.0957), Cu at (0.0707, 0.5354, 0.6201) and Ni at (0.0000, 0.5000, 0.0000).

Its density of states at the Fermi level is 30.38 states/eV per cell. As for the formation energy from the elements: 0.286 eV per atom.

---

Record 7
Th2MnCu3Ni12 | PBE | optimized geometry

It has space group R-3m (No. 166, hexagonal axes), with a = 6.0816 Å, b = 6.0816 Å, c = 24.7299 Å, α = 90.00°, β = 90.00° and γ = 120.00°. The distinct sites, in fractional coordinates, are Th at (0.0000, 0.0000, 0.1520), Mn at (0.0000, 0.0000, 0.5000), Cu at (0.0000, 0.5000, 0.0000), Ni at (0.0429, 0.5214, 0.0979) and Ni at (0.0752, 0.5376, 0.6157).

Its density of states at the Fermi level is 52.24 states/eV per cell. As for the formation energy from the elements: 0.183 eV per atom.

---

Record 8
Ti2MnCuNi | PBE | optimized geometry

It has space group P4/mmm (No. 123), with a = 4.485 Å, b = 4.485 Å, c = 4.169 Å, α = 90.00°, β = 90.00° and γ = 90.00°. The distinct sites, in fractional coordinates, are Ti at (0.000, 0.500, 0.000), Mn at (0.000, 0.000, 0.500), Cu at (0.500, 0.500, 0.500) and Ni at (0.000, 0.000, 0.000).

Its density of states at the Fermi level is 8.25 states/eV per cell. As for the formation energy from the elements: 0.776 eV per atom.

---

Number 1: calculated total energy -5.807 eV/atom, spin magnetization 8.757 μB per formula unit. Number 2: calculated total energy -4.451 eV/atom, spin magnetization 3.714 μB per formula unit. Number 3: calculated total energy -5.336 eV/atom, spin magnetization 5.087 μB per formula unit. Number 4: calculated total energy -4.652 eV/atom, spin magnetization 4.338 μB per formula unit. Number 5: calculated total energy -5.739 eV/atom, spin magnetization 4.320 μB per formula unit. Number 6: calculated total energy -4.742 eV/atom, spin magnetization 3.418 μB per formula unit. Number 7: calculated total energy -5.688 eV/atom, spin magnetization 4.334 μB per formula unit. Number 8: calculated total energy -6.191 eV/atom, spin magnetization 0.000 μB per formula unit.